[1]
Below is a geometry-optimized NpPt4Au structure, with properties calculated at the PBE level.

Computed properties:
total energy = -7.21 eV/atom
SG = F-43m (216)
ΔE_f = -0.4781 eV/atom
total magnetization = 2.6 μB per cell
crystal system = cubic

Cell and atoms, written as CIF:
```
data_NpPt4Au
_chemical_formula_sum 'Np1 Pt4 Au1'
_cell_length_a 5.353
_cell_length_b 5.353
_cell_length_c 5.353
_cell_angle_alpha 60.00
_cell_angle_beta 60.00
_cell_angle_gamma 60.00
_symmetry_space_group_name_H-M 'P 1'
_symmetry_Int_Tables_number 1
_symmetry_space_group_name_Hall 'P 1'
loop_
_atom_site_label
_atom_site_fract_x
_atom_site_fract_y
_atom_site_fract_z
Np1 0.000 0.000 0.000
Pt1 0.375 0.375 0.375
Pt2 0.375 0.375 0.874
Pt3 0.375 0.874 0.375
Pt4 0.874 0.375 0.375
Au1 0.750 0.750 0.750
```

=====

[2]
Below is a geometry-optimized MnSe structure, with properties calculated at the PBE level.

Computed properties:
total energy = -6.31 eV/atom
SG = Pm-3m (221)
total magnetization = 3.1 μB per cell
crystal system = cubic
ΔE_f (raw) = 0.0202 eV/atom

Cell and atoms, written as CIF:
```
data_MnSe
_chemical_formula_sum 'Mn1 Se1'
_cell_length_a 3.163
_cell_length_b 3.163
_cell_length_c 3.163
_cell_angle_alpha 90.00
_cell_angle_beta 90.00
_cell_angle_gamma 90.00
_symmetry_space_group_name_H-M 'P 1'
_symmetry_Int_Tables_number 1
_symmetry_space_group_name_Hall 'P 1'
loop_
_atom_site_label
_atom_site_fract_x
_atom_site_fract_y
_atom_site_fract_z
Mn1 0.000 0.000 0.000
Se1 0.500 0.500 0.500
```

=====

Q: Among the records above, which one has the lowest total energy?
A: NpPt4Au

=====

Q: Which of these has the highest total magnetization?
A: MnSe

=====

Q: The lowest total magnetization belongs to which entry?
A: NpPt4Au

=====

Q: Look up the total magnetization of the second one.
A: 3.1 μB per cell